Here is a relaxed Mg3SbBr crystal from Alexandria. Energies are from PBE-GGA.

Output
total moment	0.000	μB per formula unit
excess energy over the best structure of this formula in the dataset	188	meV/atom
total DFT energy (no corrections)	-1.94	eV/atom

```
5
Lattice="-4.387 -0.958 2.721 -0.834 -4.320 -2.866 2.762 -2.827 3.457" Properties=species:S:1:pos:R:3 pbc="T T T"
Mg -0.417 -2.160 -1.433
Mg 1.381 -1.414 1.729
Br 0.000 0.000 0.000
Mg -2.194 -0.479 1.361
Sb -1.230 -4.052 1.656
```